[1]
Sm5Co2Se2 | Alexandria | PBE-GGA | relaxed; formation energy (no corrections) = -0.79 eV per atom; calculated density = 7.766 g/cm3; volume = 439.4 Å³ per cell
1.0
7.567 -3.830 0.000
7.567 3.830 0.000
0.000 0.000 7.582
Sm Co Se
10 4 4
direct
0.000 0.000 0.000 Sm
0.039 0.712 0.659 Sm
0.212 0.539 0.159 Sm
0.288 0.961 0.659 Sm
0.461 0.788 0.159 Sm
0.500 0.500 0.500 Sm
0.539 0.212 0.841 Sm
0.712 0.039 0.341 Sm
0.788 0.461 0.841 Sm
0.961 0.288 0.341 Sm
0.133 0.867 0.370 Co
0.367 0.633 0.870 Co
0.633 0.367 0.130 Co
0.867 0.133 0.630 Co
0.205 0.205 0.000 Se
0.295 0.295 0.500 Se
0.705 0.705 0.500 Se
0.795 0.795 0.000 Se



[2]
Sm4CoSe3 | Alexandria | PBE-GGA | relaxed; formation energy (no corrections) = -1.37 eV per atom; calculated density = 7.287 g/cm3; volume = 409.0 Å³ per cell
1.0
7.373 0.000 0.000
0.000 8.347 0.000
-2.327 0.000 6.645
Sm Co Se
8 2 6
direct
0.226 0.116 0.006 Sm
0.226 0.884 0.506 Sm
0.234 0.352 0.481 Sm
0.234 0.648 0.981 Sm
0.766 0.352 0.019 Sm
0.766 0.648 0.519 Sm
0.774 0.116 0.494 Sm
0.774 0.884 0.994 Sm
0.000 0.120 0.250 Co
0.000 0.880 0.750 Co
0.000 0.381 0.750 Se
0.000 0.619 0.250 Se
0.500 0.125 0.750 Se
0.500 0.384 0.250 Se
0.500 0.616 0.750 Se
0.500 0.875 0.250 Se



> Among the records above, which one has the lowest calculated density?

Sm4CoSe3